No. 1
First-principles (SCAN) data for a crystal of SrTl2Sb relaxed with PBEsol, as listed in Alexandria.

**Uncorrected formation energy**: -449 meV per atom
**E_tot**: -3.7861 Ry/atom
**Energy above the lowest structure with this stoichiometry**: 57 meV per atom

Cell lengths 4.8617, 4.8731, 6.0106 Å; angles 113.91, 113.86, 90.00 degrees
Last column: nearest neighbours and their distance in Å.
Positions (direct):
Sb (0.4993, 0.4993, 0.9986)  8 Tl 3.44-3.48, 4 Sr 3.46-3.47
Sr (0.2493, 0.7493, 0.4986)  8 Tl 3.44-3.47, 4 Sb 3.46-3.47
Tl (0.0002, 0.0002, 0.0003)  4 Sb 3.44, 4 Tl 3.46-3.47, 4 Sr 3.46-3.47
Tl (0.7512, 0.2512, 0.5025)  4 Sr 3.44, 4 Sb 3.45-3.48, 4 Tl 3.46-3.47

---

No. 2
First-principles (SCAN) data for a crystal of YZn2Au relaxed with PBEsol, as listed in Alexandria.

**Energy of formation**: -199 meV per atom
**E_tot**: -2.2936 Ry/atom

Cell lengths 3.2062, 4.8836, 5.7433 Å; angles 113.81, 104.26, 94.42 degrees
Last column: nearest neighbours and their distance in Å.
Positions (direct):
Au (0.0000, 0.5000, 0.0000)  4 Y 2.82-3.02, 4 Zn 2.92
Y (0.5000, 0.0000, 0.0000)  4 Au 2.82-3.02, 4 Zn 2.92
Zn (0.5000, 0.5000, 0.5000)  4 Zn 2.82-3.02, 2 Au 2.92, 2 Y 2.92
Zn (0.0000, 0.0000, 0.5000)  4 Zn 2.82-3.02, 2 Au 2.92, 2 Y 2.92

---

No. 3
First-principles (SCAN) data for a crystal of Si2PAu relaxed with PBEsol, as listed in Alexandria.

**Uncorrected formation energy**: 523 meV per atom
**E_tot**: -1.7914 Ry/atom

Cell lengths 3.0205, 3.0205, 6.5861 Å; angles 90.00, 90.00, 90.00 degrees
Last column: nearest neighbours and their distance in Å.
Positions (direct):
P (0.5000, 0.5000, 0.5000)  8 Si 2.59
Si (0.0000, 0.0000, 0.7227)  4 P 2.59, 4 Au 2.81
Si (0.0000, 0.0000, 0.2773)  4 P 2.59, 4 Au 2.81
Au (0.5000, 0.5000, 0.0000)  8 Si 2.81, 4 Au 3.02

---

No. 4
First-principles (SCAN) data for a crystal of Nb3TlNi relaxed with PBEsol, as listed in Alexandria.

**Energy of formation**: 2354 meV per atom
**E_tot**: -2.5894 Ry/atom

Cell lengths 5.0154, 5.0154, 5.0154 Å; angles 90.00, 90.00, 90.00 degrees
Last column: nearest neighbours and their distance in Å.
Positions (direct):
Ni (0.5000, 0.5000, 0.5000)  12 Nb 3.55
Tl (0.0000, 0.0000, 0.0000)  6 Nb 2.51
Nb (0.0000, 0.5000, 0.0000)  2 Tl 2.51
Nb (0.0000, 0.0000, 0.5000)  2 Tl 2.51
Nb (0.5000, 0.0000, 0.0000)  2 Tl 2.51

---

No. 5
First-principles (SCAN) data for a crystal of Zn4Hg relaxed with PBEsol, as listed in Alexandria.

**Energy of formation**: 126 meV per atom
**E_tot**: -1.7875 Ry/atom
**Energy above the lowest structure with this stoichiometry**: 9 meV per atom

Cell lengths 2.9535, 2.9535, 10.8407 Å; angles 82.17, 82.17, 60.00 degrees
Last column: nearest neighbours and their distance in Å.
Positions (direct):
Zn (0.4058, 0.4058, 0.7827)  3 Zn 2.64, 3 Hg 2.88
Zn (0.8017, 0.8017, 0.5948)  6 Zn 2.64-2.65
Zn (0.1983, 0.1983, 0.4052)  6 Zn 2.64-2.65
Zn (0.5942, 0.5942, 0.2173)  3 Zn 2.64, 3 Hg 2.88
Hg (0.0000, 0.0000, 0.0000)  6 Zn 2.88, 6 Hg 2.95

---

No. 6
First-principles (SCAN) data for a crystal of Ca2TaTiO6 relaxed with PBEsol, as listed in Alexandria.

**Uncorrected formation energy**: -3308 meV per atom
**E_tot**: -1.2671 Ry/atom

Cell lengths 5.4149, 5.5466, 7.7565 Å; angles 90.00, 90.00, 90.01 degrees
Last column: nearest neighbours and their distance in Å.
Positions (direct):
Ca (0.0059, 0.0408, 0.2500)  4 O 2.34-2.46
Ca (0.4896, 0.5569, 0.2500)  6 O 2.35-2.59
Ca (0.5104, 0.4431, 0.7500)  6 O 2.35-2.59
Ca (0.9941, 0.9592, 0.7500)  4 O 2.34-2.46
Ta (0.0000, 0.5000, 0.0000)  6 O 1.99-2.00
Ta (0.0000, 0.5000, 0.5000)  6 O 1.99-2.00
Ti (0.5000, 0.0000, 0.0000)  6 O 1.99-2.01
Ti (0.5000, 0.0000, 0.5000)  6 O 1.99-2.01
O (0.7980, 0.2061, 0.5429)  1 Ta 1.99, 1 Ti 2.01
O (0.2968, 0.2958, 0.4583)  1 Ta 1.99, 1 Ti 2.00
O (0.2020, 0.7939, 0.4571)  1 Ta 1.99, 1 Ti 2.01
O (0.7032, 0.7042, 0.9583)  1 Ta 1.99, 1 Ti 2.00
O (0.0837, 0.5235, 0.7500)  2 Ta 2.00
O (0.7032, 0.7042, 0.5417)  1 Ta 1.99, 1 Ti 2.00
O (0.2968, 0.2958, 0.0417)  1 Ta 1.99, 1 Ti 2.00
O (0.7980, 0.2061, 0.9571)  1 Ta 1.99, 1 Ti 2.01
O (0.5790, 0.9772, 0.2500)  2 Ti 1.99
O (0.2020, 0.7939, 0.0429)  1 Ta 1.99, 1 Ti 2.01
O (0.4210, 0.0228, 0.7500)  2 Ti 1.99
O (0.9163, 0.4765, 0.2500)  2 Ta 2.00

---

No. 7
First-principles (SCAN) data for a crystal of WN2OF relaxed with PBEsol, as listed in Alexandria.

**Uncorrected formation energy**: 2055 meV per atom
**E_tot**: -1.2901 Ry/atom

Cell lengths 3.5011, 3.5011, 3.5450 Å; angles 90.00, 90.00, 90.00 degrees
Last column: nearest neighbours and their distance in Å.
Positions (direct):
N (0.0000, 0.5000, 0.0000)  2 F 1.75
N (0.5000, 0.0000, 0.0000)  2 F 1.75
O (0.0000, 0.0000, 0.5000)  2 F 1.77
W (0.5000, 0.5000, 0.5000)  4 O 2.48, 8 N 2.49
F (0.0000, 0.0000, 0.0000)  4 N 1.75, 2 O 1.77

---

No. 8
First-principles (SCAN) data for a crystal of TlTeIr2 relaxed with PBEsol, as listed in Alexandria.

**Uncorrected formation energy**: 564 meV per atom
**E_tot**: -4.5854 Ry/atom
**Energy above the lowest structure with this stoichiometry**: 159 meV per atom

Cell lengths 3.0870, 4.3433, 6.3204 Å; angles 110.10, 104.14, 90.00 degrees
Last column: nearest neighbours and their distance in Å.
Positions (direct):
Ir (0.9448, 0.9448, 0.8896)  4 Ir 2.87-3.09, 2 Tl 2.88, 4 Te 2.88
Ir (0.2340, 0.7340, 0.4679)  2 Te 2.70, 4 Tl 2.72, 2 Ir 2.87
Te (0.5409, 0.5409, 0.0819)  6 Ir 2.70-2.88
Tl (0.7803, 0.2803, 0.5606)  6 Ir 2.72-2.88

---

> Which formula does entry 3 have?

Si2PAu